1.
DFT (PBE) results for LaZrMo2 after structural relaxation.

abc: 5.905 5.905 5.041
angles: 115.05 115.05 33.42
Fractional positions:
La1 0.000 0.000 0.000
Zr1 0.229 0.229 0.730
Mo1 0.449 0.449 0.450
Mo2 0.766 0.766 0.268

## Properties
Calculated formation energy in eV/atom: 0.31
E in eV/atom: -8.474
Magnetic moment in μB per atom: 0.000
SG: No. 8
V in Å³/cell: 87
N(E_F) in states/eV/cell: 3.70

***

2.
DFT (PBE) results for LaZrMo2 after structural relaxation.

abc: 4.881 4.881 4.881
angles: 60.00 60.00 60.00
Fractional positions:
La1 0.000 0.000 0.000
Zr1 0.500 0.500 0.500
Mo1 0.250 0.250 0.250
Mo2 0.750 0.750 0.750

## Properties
Calculated formation energy in eV/atom: 0.45
E in eV/atom: -8.337
Magnetic moment in μB per atom: 0.000
SG: No. 225
V in Å³/cell: 82
N(E_F) in states/eV/cell: 5.44

***

3.
DFT (PBE) results for LaZrMo2 after structural relaxation.

abc: 6.180 6.180 6.180
angles: 103.13 103.13 123.07
Fractional positions:
La1 0.000 0.000 0.000
La2 0.750 0.250 0.500
Zr1 0.250 0.750 0.500
Zr2 0.500 0.500 0.000
Mo1 0.137 0.125 0.512
Mo2 0.375 0.863 0.988
Mo3 0.613 0.625 0.488
Mo4 0.875 0.387 0.012

## Properties
Calculated formation energy in eV/atom: 0.89
E in eV/atom: -7.893
Magnetic moment in μB per atom: 0.000
SG: No. 122
V in Å³/cell: 174
N(E_F) in states/eV/cell: 12.10

***

4.
DFT (PBE) results for LaZrMo2 after structural relaxation.

abc: 9.936 9.936 9.936
angles: 18.39 18.39 18.39
Fractional positions:
La1 0.000 0.000 0.000
Zr1 0.231 0.231 0.231
Mo1 0.487 0.487 0.487
Mo2 0.757 0.757 0.757

## Properties
Calculated formation energy in eV/atom: 0.42
E in eV/atom: -8.363
Magnetic moment in μB per atom: 0.000
SG: No. 160
V in Å³/cell: 85
N(E_F) in states/eV/cell: 5.17

***

5.
DFT (PBE) results for LaZrMo2 after structural relaxation.

abc: 3.062 3.062 9.366
angles: 90.00 90.00 113.31
Fractional positions:
La1 0.000 0.000 0.000
Zr1 0.000 0.000 0.500
Mo1 0.500 0.500 0.264
Mo2 0.500 0.500 0.736

## Properties
Calculated formation energy in eV/atom: 0.42
E in eV/atom: -8.364
Magnetic moment in μB per atom: 0.000
SG: No. 65
V in Å³/cell: 81
N(E_F) in states/eV/cell: 4.74

***

6.
DFT (PBE) results for LaZrMo after structural relaxation.

abc: 4.787 4.787 4.787
angles: 60.00 60.00 60.00
Fractional positions:
La1 0.000 0.000 0.000
Zr1 0.500 0.500 0.500
Mo1 0.250 0.250 0.250

## Properties
Calculated formation energy in eV/atom: 0.51
E in eV/atom: -7.596
Magnetic moment in μB per atom: 0.000
SG: No. 216
V in Å³/cell: 78
N(E_F) in states/eV/cell: 3.42

***

7.
DFT (PBE) results for LaZrMo after structural relaxation.

abc: 7.986 7.719 3.206
angles: 82.94 73.58 23.48
Fractional positions:
La1 0.000 0.000 0.000
Zr1 0.711 0.711 0.289
Mo1 0.345 0.345 0.655

## Properties
Calculated formation energy in eV/atom: 0.35
E in eV/atom: -7.752
Magnetic moment in μB per atom: 0.000
SG: No. 42
V in Å³/cell: 71
N(E_F) in states/eV/cell: 5.06

***

8.
DFT (PBE) results for LaZrMo2 after structural relaxation.

abc: 3.375 4.588 5.190
angles: 90.00 90.00 90.00
Fractional positions:
La1 0.000 0.000 0.000
Zr1 0.500 0.000 0.500
Mo1 0.000 0.500 0.500
Mo2 0.500 0.500 0.000

## Properties
Calculated formation energy in eV/atom: 0.52
E in eV/atom: -8.263
Magnetic moment in μB per atom: 0.000
SG: No. 47
V in Å³/cell: 80
N(E_F) in states/eV/cell: 4.27

***

9.
DFT (PBE) results for LaZrMo2 after structural relaxation.

abc: 3.713 3.713 6.786
angles: 90.00 90.00 90.00
Fractional positions:
La1 0.000 0.000 0.000
Zr1 0.000 0.000 0.500
Mo1 0.500 0.500 0.323
Mo2 0.500 0.500 0.677

## Properties
Calculated formation energy in eV/atom: 0.36
E in eV/atom: -8.426
Magnetic moment in μB per atom: 0.000
SG: No. 123
V in Å³/cell: 94
N(E_F) in states/eV/cell: 3.04

***

10.
DFT (PBE) results for LaZrMo3 after structural relaxation.

abc: 4.938 4.938 4.938
angles: 90.00 90.00 90.00
Fractional positions:
La1 0.000 0.000 0.000
Zr1 0.500 0.500 0.500
Mo1 0.000 0.500 0.500
Mo2 0.500 0.000 0.500
Mo3 0.500 0.500 0.000

## Properties
Calculated formation energy in eV/atom: 1.43
E in eV/atom: -7.760
Magnetic moment in μB per atom: 0.326
SG: No. 221
V in Å³/cell: 120
N(E_F) in states/eV/cell: 7.97

***

11.
DFT (PBE) results for LaZrMo2 after structural relaxation.

abc: 4.911 4.911 3.384
angles: 90.00 90.00 90.00
Fractional positions:
La1 0.000 0.000 0.000
Zr1 0.500 0.500 0.000
Mo1 0.000 0.500 0.500
Mo2 0.500 0.000 0.500

## Properties
Calculated formation energy in eV/atom: 0.50
E in eV/atom: -8.282
Magnetic moment in μB per atom: 0.000
SG: No. 123
V in Å³/cell: 82
N(E_F) in states/eV/cell: 7.60

***

12.
DFT (PBE) results for LaZrMo2 after structural relaxation.

abc: 3.019 3.019 10.117
angles: 90.00 90.00 113.61
Fractional positions:
La1 0.000 0.000 0.000
Zr1 0.500 0.500 0.677
Mo1 0.000 0.000 0.452
Mo2 0.500 0.500 0.259

## Properties
Calculated formation energy in eV/atom: 0.31
E in eV/atom: -8.476
Magnetic moment in μB per atom: 0.000
SG: No. 35
V in Å³/cell: 84
N(E_F) in states/eV/cell: 4.28